Record 1
# DyTmZrIn

DyTmZrIn after structural relaxation (PBE-GGA, Alexandria via LeMat-Bulk).

```
data_DyTmZrIn
_chemical_formula_sum 'Dy1 Tm1 Zr1 In1'
_cell_length_a 5.308
_cell_length_b 5.308
_cell_length_c 5.308
_cell_angle_alpha 60.00
_cell_angle_beta 60.00
_cell_angle_gamma 60.00
_space_group_name_H-M_alt 'P 1'
_space_group_IT_number 1
loop_
_space_group_symop_operation_xyz
'x,y,z'
loop_
_atom_site_label
_atom_site_fract_x
_atom_site_fract_y
_atom_site_fract_z
Dy1 0.000 0.000 0.000
In1 0.250 0.250 0.250
Zr1 0.750 0.750 0.750
Tm1 0.500 0.500 0.500
```

Properties
Spin magnetization   2.6 μB/f.u.
SG   F-43m
E_form   -0.0717 eV/atom


Record 2
# CaSb2Au4

CaSb2Au4 after structural relaxation (PBE-GGA, Alexandria via LeMat-Bulk).

```
data_CaSb2Au4
_chemical_formula_sum 'Ca4 Sb8 Au16'
_cell_length_a 4.737
_cell_length_b 7.463
_cell_length_c 18.207
_cell_angle_alpha 90.00
_cell_angle_beta 90.02
_cell_angle_gamma 90.00
_space_group_name_H-M_alt 'P 1'
_space_group_IT_number 1
loop_
_space_group_symop_operation_xyz
'x,y,z'
loop_
_atom_site_label
_atom_site_fract_x
_atom_site_fract_y
_atom_site_fract_z
Ca1 0.750 0.527 0.143
Sb1 0.250 0.713 0.513
Au1 0.750 0.588 0.583
Sb2 0.250 0.566 0.272
Ca2 0.250 0.473 0.857
Au2 0.250 0.092 0.537
Au3 0.750 0.139 0.828
Sb3 0.750 0.434 0.728
Au4 0.750 0.908 0.463
Sb4 0.250 0.934 0.772
Sb5 0.750 0.066 0.228
Au5 0.250 0.639 0.672
Au6 0.750 0.592 0.963
Sb6 0.250 0.787 0.013
Au7 0.250 0.255 0.181
Sb7 0.750 0.213 0.987
Au8 0.250 0.245 0.681
Au9 0.750 0.745 0.819
Au10 0.750 0.361 0.328
Au11 0.250 0.408 0.037
Au12 0.250 0.861 0.172
Au13 0.250 0.088 0.917
Sb8 0.750 0.287 0.487
Au14 0.250 0.412 0.417
Ca3 0.750 0.973 0.643
Au15 0.750 0.912 0.083
Au16 0.750 0.755 0.319
Ca4 0.250 0.027 0.357
```

Properties
Spin magnetization   0.0 μB/f.u.
ΔE_f (raw)   -32.1 kJ/mol of atoms
SG   Pnma


Record 3
# LiScP2

LiScP2 after structural relaxation (PBE-GGA, Alexandria via LeMat-Bulk).

```
data_LiScP2
_chemical_formula_sum 'Li1 Sc1 P2'
_cell_length_a 5.149
_cell_length_b 5.149
_cell_length_c 3.902
_cell_angle_alpha 77.19
_cell_angle_beta 77.19
_cell_angle_gamma 42.34
_space_group_name_H-M_alt 'P 1'
_space_group_IT_number 1
loop_
_space_group_symop_operation_xyz
'x,y,z'
loop_
_atom_site_label
_atom_site_fract_x
_atom_site_fract_y
_atom_site_fract_z
P1 0.982 0.982 0.137
P2 0.786 0.786 0.582
Li1 0.238 0.238 0.171
Sc1 0.494 0.494 0.610
```

Properties
Spin magnetization   0.0 μB/f.u.
Polymorph energy (0 for the lowest one)   0 meV/atom
SG   Cm
E_form   -0.8226 eV/atom


Record 4
# CdHgPd

CdHgPd after structural relaxation (PBE-GGA, Alexandria via LeMat-Bulk).

```
data_CdHgPd
_chemical_formula_sum 'Cd1 Hg1 Pd1'
_cell_length_a 3.073
_cell_length_b 4.663
_cell_length_c 4.663
_cell_angle_alpha 120.00
_cell_angle_beta 90.00
_cell_angle_gamma 90.00
_space_group_name_H-M_alt 'P 1'
_space_group_IT_number 1
loop_
_space_group_symop_operation_xyz
'x,y,z'
loop_
_atom_site_label
_atom_site_fract_x
_atom_site_fract_y
_atom_site_fract_z
Pd1 0.694 0.667 0.333
Hg1 0.972 0.000 0.000
Cd1 0.334 0.333 0.667
```

Properties
Spin magnetization   0.0 μB/f.u.
Polymorph energy (0 for the lowest one)   117 meV/atom
SG   P3m1
E_form   -0.1126 eV/atom


Record 5
# Er3Cu2Rh

Er3Cu2Rh after structural relaxation (PBE-GGA, Alexandria via LeMat-Bulk).

```
data_Er3Cu2Rh
_chemical_formula_sum 'Er6 Cu4 Rh2'
_cell_length_a 4.841
_cell_length_b 4.841
_cell_length_c 11.878
_cell_angle_alpha 90.00
_cell_angle_beta 90.00
_cell_angle_gamma 120.00
_space_group_name_H-M_alt 'P 1'
_space_group_IT_number 1
loop_
_space_group_symop_operation_xyz
'x,y,z'
loop_
_atom_site_label
_atom_site_fract_x
_atom_site_fract_y
_atom_site_fract_z
Cu1 0.333 0.667 0.163
Er1 0.000 0.000 0.747
Cu2 0.000 0.000 0.500
Cu3 0.000 0.000 0.000
Cu4 0.667 0.333 0.837
Rh1 0.333 0.667 0.666
Er2 0.667 0.333 0.086
Er3 0.667 0.333 0.584
Rh2 0.667 0.333 0.334
Er4 0.333 0.667 0.416
Er5 0.333 0.667 0.914
Er6 0.000 0.000 0.253
```

Properties
Spin magnetization   0.0 μB/f.u.
Polymorph energy (0 for the lowest one)   0 meV/atom
SG   P-3m1
E_form   -0.4988 eV/atom


Record 6
# KNa4Au2

KNa4Au2 after structural relaxation (PBE-GGA, Alexandria via LeMat-Bulk).

```
data_KNa4Au2
_chemical_formula_sum 'K2 Na8 Au4'
_cell_length_a 4.927
_cell_length_b 9.220
_cell_length_c 9.220
_cell_angle_alpha 90.00
_cell_angle_beta 90.00
_cell_angle_gamma 90.00
_space_group_name_H-M_alt 'P 1'
_space_group_IT_number 1
loop_
_space_group_symop_operation_xyz
'x,y,z'
loop_
_atom_site_label
_atom_site_fract_x
_atom_site_fract_y
_atom_site_fract_z
Na1 0.000 0.666 0.909
Au1 0.000 0.218 0.782
K1 0.500 0.000 0.000
Na2 0.500 0.166 0.591
Na3 0.000 0.909 0.666
K2 0.000 0.500 0.500
Au2 0.500 0.718 0.718
Na4 0.500 0.834 0.409
Na5 0.500 0.409 0.834
Au3 0.500 0.282 0.282
Na6 0.500 0.591 0.166
Au4 0.000 0.782 0.218
Na7 0.000 0.091 0.334
Na8 0.000 0.334 0.091
```

Properties
Spin magnetization   0.0 μB/f.u.
Polymorph energy (0 for the lowest one)   0 meV/atom
SG   P4_2/mnm
E_form   -0.2064 eV/atom


Record 7
# CeGdThSc

CeGdThSc after structural relaxation (PBE-GGA, Alexandria via LeMat-Bulk).

```
data_CeGdThSc
_chemical_formula_sum 'Ce1 Gd1 Th1 Sc1'
_cell_length_a 5.521
_cell_length_b 5.521
_cell_length_c 5.521
_cell_angle_alpha 60.00
_cell_angle_beta 60.00
_cell_angle_gamma 60.00
_space_group_name_H-M_alt 'P 1'
_space_group_IT_number 1
loop_
_space_group_symop_operation_xyz
'x,y,z'
loop_
_atom_site_label
_atom_site_fract_x
_atom_site_fract_y
_atom_site_fract_z
Th1 0.250 0.250 0.250
Sc1 0.500 0.500 0.500
Gd1 0.750 0.750 0.750
Ce1 0.000 0.000 0.000
```

Properties
Spin magnetization   8.8 μB/f.u.
SG   F-43m
E_form   0.1757 eV/atom


Record 8
# KAsSeO6

KAsSeO6 after structural relaxation (PBE-GGA, Alexandria via LeMat-Bulk).

```
data_KAsSeO6
_chemical_formula_sum 'K1 As1 Se1 O6'
_cell_length_a 4.901
_cell_length_b 4.901
_cell_length_c 6.157
_cell_angle_alpha 90.00
_cell_angle_beta 90.00
_cell_angle_gamma 60.00
_space_group_name_H-M_alt 'P 1'
_space_group_IT_number 1
loop_
_space_group_symop_operation_xyz
'x,y,z'
loop_
_atom_site_label
_atom_site_fract_x
_atom_site_fract_y
_atom_site_fract_z
Se1 0.667 0.667 0.500
O1 0.995 0.620 0.672
O2 0.620 0.995 0.328
O3 0.385 0.995 0.672
K1 0.000 0.000 0.000
As1 0.333 0.333 0.500
O4 0.385 0.620 0.328
O5 0.995 0.385 0.328
O6 0.620 0.385 0.672
```

Properties
Spin magnetization   0.0 μB/f.u.
ΔE_f (raw)   -104.5 kJ/mol of atoms
SG   P312


Record 9
# In2PtN

In2PtN after structural relaxation (PBE-GGA, Alexandria via LeMat-Bulk).

```
data_In2PtN
_chemical_formula_sum 'In4 Pt2 N2'
_cell_length_a 6.245
_cell_length_b 6.245
_cell_length_c 5.907
_cell_angle_alpha 58.09
_cell_angle_beta 58.09
_cell_angle_gamma 90.00
_space_group_name_H-M_alt 'P 1'
_space_group_IT_number 1
loop_
_space_group_symop_operation_xyz
'x,y,z'
loop_
_atom_site_label
_atom_site_fract_x
_atom_site_fract_y
_atom_site_fract_z
Pt1 0.000 0.000 0.000
N1 0.250 0.750 0.500
In1 0.875 0.809 0.750
In2 0.375 0.441 0.750
In3 0.191 0.625 0.250
Pt2 0.750 0.250 0.500
N2 0.500 0.500 0.000
In4 0.559 0.125 0.250
```

Properties
Spin magnetization   0.0 μB/f.u.
ΔE_f (raw)   13.0 kJ/mol of atoms
SG   I-42d


Record 10
# NaSc2CdSn

NaSc2CdSn after structural relaxation (PBE-GGA, Alexandria via LeMat-Bulk).

```
data_NaSc2CdSn
_chemical_formula_sum 'Na1 Sc2 Cd1 Sn1'
_cell_length_a 5.356
_cell_length_b 5.113
_cell_length_c 5.356
_cell_angle_alpha 90.00
_cell_angle_beta 90.00
_cell_angle_gamma 90.00
_space_group_name_H-M_alt 'P 1'
_space_group_IT_number 1
loop_
_space_group_symop_operation_xyz
'x,y,z'
loop_
_atom_site_label
_atom_site_fract_x
_atom_site_fract_y
_atom_site_fract_z
Cd1 0.000 0.000 0.000
Sn1 0.500 0.500 0.500
Sc1 0.500 0.000 0.000
Sc2 0.000 0.000 0.500
Na1 0.000 0.500 0.000
```

Properties
Spin magnetization   0.0 μB/f.u.
Polymorph energy (0 for the lowest one)   0 meV/atom
SG   P4/mmm
E_form   0.3690 eV/atom


Record 11
# RePtN

RePtN after structural relaxation (PBE-GGA, Alexandria via LeMat-Bulk).

```
data_RePtN
_chemical_formula_sum 'Re2 Pt2 N2'
_cell_length_a 5.352
_cell_length_b 2.782
_cell_length_c 5.523
_cell_angle_alpha 90.00
_cell_angle_beta 105.23
_cell_angle_gamma 90.00
_space_group_name_H-M_alt 'P 1'
_space_group_IT_number 1
loop_
_space_group_symop_operation_xyz
'x,y,z'
loop_
_atom_site_label
_atom_site_fract_x
_atom_site_fract_y
_atom_site_fract_z
Pt1 0.473 0.000 0.535
N1 0.400 0.000 0.134
Re1 0.573 0.500 0.967
Re2 0.096 0.000 0.827
Pt2 0.965 0.500 0.402
N2 0.949 0.500 0.018
```

Properties
Spin magnetization   0.0 μB/f.u.
ΔE_f (raw)   14.0 kJ/mol of atoms
Polymorph energy (0 for the lowest one)   136 meV/atom
SG   Pm


Record 12
# Sn2Br3Cl

Sn2Br3Cl after structural relaxation (PBE-GGA, Alexandria via LeMat-Bulk).

```
data_Sn2Br3Cl
_chemical_formula_sum 'Sn4 Br6 Cl2'
_cell_length_a 4.332
_cell_length_b 9.667
_cell_length_c 11.537
_cell_angle_alpha 78.70
_cell_angle_beta 79.18
_cell_angle_gamma 77.05
_space_group_name_H-M_alt 'P 1'
_space_group_IT_number 1
loop_
_space_group_symop_operation_xyz
'x,y,z'
loop_
_atom_site_label
_atom_site_fract_x
_atom_site_fract_y
_atom_site_fract_z
Sn1 0.378 0.872 0.371
Br1 0.041 0.090 0.828
Sn2 0.622 0.128 0.629
Sn3 0.882 0.382 0.855
Cl1 0.534 0.602 0.331
Br2 0.829 0.797 0.546
Cl2 0.466 0.398 0.669
Br3 0.669 0.691 0.972
Br4 0.959 0.910 0.172
Br5 0.171 0.203 0.454
Br6 0.331 0.309 0.028
Sn4 0.118 0.618 0.145
```

Properties
Spin magnetization   0.0 μB/f.u.
ΔE_f (raw)   -78.6 kJ/mol of atoms
SG   C2/m


Record 13
# TiB12

TiB12 after structural relaxation (PBE-GGA, Alexandria via LeMat-Bulk).

```
data_TiB12
_chemical_formula_sum 'Ti1 B12'
_cell_length_a 5.198
_cell_length_b 5.198
_cell_length_c 5.198
_cell_angle_alpha 60.00
_cell_angle_beta 60.00
_cell_angle_gamma 60.00
_space_group_name_H-M_alt 'P 1'
_space_group_IT_number 1
loop_
_space_group_symop_operation_xyz
'x,y,z'
loop_
_atom_site_label
_atom_site_fract_x
_atom_site_fract_y
_atom_site_fract_z
B1 0.500 0.161 0.500
B2 0.839 0.500 0.500
B3 0.161 0.500 0.839
B4 0.500 0.839 0.500
B5 0.161 0.500 0.500
B6 0.500 0.500 0.839
B7 0.500 0.161 0.839
B8 0.839 0.500 0.161
Ti1 0.000 0.000 0.000
B9 0.500 0.839 0.161
B10 0.161 0.839 0.500
B11 0.839 0.161 0.500
B12 0.500 0.500 0.161
```

Properties
Spin magnetization   0.0 μB/f.u.
SG   Fm-3m
E_form   -0.0988 eV/atom